VASP calculation (SCAN) on YW2NO at its PBEsol-relaxed geometry.

CIF file:
```
data_YW2NO
_chemical_formula_sum 'Y1 W2 N1 O1'
_cell_length_a 4.9206
_cell_length_b 4.9206
_cell_length_c 3.9558
_cell_angle_alpha 90.00
_cell_angle_beta 90.00
_cell_angle_gamma 90.00
_space_group_name_H-M_alt 'P 4/m m m'
_space_group_IT_number 123
_space_group_name_Hall '-P 4 2'
loop_
_atom_site_label
_atom_site_type_symbol
_atom_site_fract_x
_atom_site_fract_y
_atom_site_fract_z
Y1 Y 0.0000 0.0000 0.0000
W1 W 0.0000 0.5000 0.0000
N1 N 0.0000 0.0000 0.5000
O1 O 0.5000 0.5000 0.5000
```

Computed properties:
* formation energy from raw total energies: 3479 meV/atom